A geometry-optimized Sm4Si6Rh7 structure, computed with GGA-PBE.

Cell and atoms, written as extended XYZ:
```
17
Lattice="-4.1995 4.1995 4.1995 4.1995 -4.1995 4.1995 4.1995 4.1995 -4.1995" Properties=species:S:1:pos:R:3 pbc="T T T"
Sm 2.0997 2.0997 -2.0997
Sm 2.0997 -2.0997 2.0997
Sm -2.0997 2.0997 2.0997
Sm 2.0997 2.0997 2.0997
Si 2.8144 0.0000 0.0000
Si 5.5846 0.0000 0.0000
Si 0.0000 2.8144 0.0000
Si 0.0000 0.0000 2.8144
Si 0.0000 5.5846 0.0000
Si 0.0000 0.0000 5.5846
Rh 0.0000 0.0000 0.0000
Rh 4.1995 2.0997 0.0000
Rh 4.1995 0.0000 2.0997
Rh 2.0997 4.1995 0.0000
Rh 2.0997 0.0000 4.1995
Rh 0.0000 4.1995 2.0997
Rh 0.0000 2.0997 4.1995
```

Output
space group = No. 229
final energy = -7.020 eV/atom